Record 1
DFT (PBE) results for TbSnAuSe3 after structural relaxation.

a = 10.679 Å, b = 4.081 Å, c = 13.667 Å
α = 90.00°, β = 90.00°, γ = 90.00°
Element x y z (fractional)
Tb 0.983 0.750 0.244
Se 0.429 0.250 0.402
Au 0.759 0.750 0.717
Se 0.964 0.750 0.607
Au 0.259 0.750 0.783
Au 0.741 0.250 0.217
Sn 0.224 0.750 0.485
Se 0.071 0.750 0.902
Se 0.929 0.250 0.098
Au 0.241 0.250 0.283
Se 0.765 0.250 0.846
Se 0.265 0.250 0.654
Se 0.536 0.250 0.107
Se 0.464 0.750 0.893
Se 0.036 0.250 0.393
Sn 0.276 0.250 0.985
Se 0.735 0.750 0.346
Sn 0.724 0.750 0.015
Tb 0.017 0.250 0.756
Tb 0.517 0.250 0.744
Se 0.235 0.750 0.154
Tb 0.483 0.750 0.256
Se 0.571 0.750 0.598
Sn 0.776 0.250 0.515

Calculated values
* energy relative to the lowest polymorph listed for this composition: 0.332 eV/f.u.
* space group: Pnma (62)

Record 2
DFT (PBE) results for ScBe2Pd2 after structural relaxation.

a = 5.673 Å, b = 5.673 Å, c = 5.673 Å
α = 141.01°, β = 141.01°, γ = 56.33°
Element x y z (fractional)
Be 0.250 0.750 0.500
Pd 0.630 0.630 0.000
Pd 0.370 0.370 0.000
Sc 0.000 0.000 0.000
Be 0.750 0.250 0.500

Calculated values
* final energy: -5.313 eV per atom
* space group: I4/mmm (139)

Record 3
DFT (PBE) results for TbSc2In3Pt2 after structural relaxation.

a = 3.463 Å, b = 7.598 Å, c = 7.598 Å
α = 120.20°, β = 90.00°, γ = 90.00°
Element x y z (fractional)
In 0.500 0.228 0.228
Sc 0.000 0.000 0.423
In 0.500 0.767 0.006
In 0.500 0.006 0.767
Tb 0.000 0.580 0.580
Pt 0.500 0.326 0.670
Pt 0.500 0.670 0.326
Sc 0.000 0.423 0.000

Calculated values
* final energy: -5.543 eV per atom
* space group: Amm2 (38)

Record 4
DFT (PBE) results for PtI2O after structural relaxation.

a = 6.992 Å, b = 6.992 Å, c = 8.024 Å
α = 106.80°, β = 106.80°, γ = 32.61°
Element x y z (fractional)
Pt 0.993 0.008 0.253
Pt 0.992 0.007 0.747
O 0.489 0.504 0.207
O 0.496 0.511 0.793
I 0.849 0.864 0.429
I 0.136 0.151 0.571
I 0.843 0.859 0.922
I 0.141 0.157 0.078

Calculated values
* final energy: -3.486 eV per atom
* space group: C2/m (12)

Record 5
DFT (PBE) results for NaNiBi after structural relaxation.

a = 4.517 Å, b = 4.517 Å, c = 4.517 Å
α = 60.00°, β = 60.00°, γ = 60.00°
Element x y z (fractional)
Na 0.750 0.750 0.750
Ni 0.000 0.000 0.000
Bi 0.250 0.250 0.250

Calculated values
* final energy: -3.588 eV per atom
* space group: F-43m (216)

Record 6
DFT (PBE) results for MgSiIr2 after structural relaxation.

a = 5.507 Å, b = 7.468 Å, c = 5.730 Å
α = 90.00°, β = 90.00°, γ = 90.00°
Element x y z (fractional)
Si 0.445 0.250 0.097
Ir 0.179 0.028 0.322
Mg 0.064 0.750 0.967
Ir 0.679 0.528 0.178
Mg 0.936 0.250 0.033
Ir 0.679 0.972 0.178
Ir 0.821 0.528 0.678
Ir 0.179 0.472 0.322
Si 0.555 0.750 0.903
Ir 0.821 0.972 0.678
Si 0.055 0.250 0.597
Ir 0.321 0.028 0.822
Mg 0.564 0.250 0.533
Si 0.945 0.750 0.403
Mg 0.436 0.750 0.467
Ir 0.321 0.472 0.822

Calculated values
* final energy: -6.706 eV per atom
* space group: Pnma (62)

Record 7
DFT (PBE) results for NdYU after structural relaxation.

a = 5.317 Å, b = 5.317 Å, c = 5.317 Å
α = 60.00°, β = 60.00°, γ = 60.00°
Element x y z (fractional)
U 0.000 0.000 0.000
Y 0.750 0.750 0.750
Nd 0.250 0.250 0.250

Calculated values
* energy of formation: 1270 meV/atom
* energy relative to the lowest polymorph listed for this composition: 0.000 eV/f.u.
* space group: F-43m (216)

Record 8
DFT (PBE) results for KTlZn2As2 after structural relaxation.

a = 4.240 Å, b = 4.240 Å, c = 10.188 Å
α = 90.00°, β = 90.00°, γ = 120.00°
Element x y z (fractional)
Tl 0.000 0.000 0.500
Zn 0.667 0.333 0.253
Zn 0.333 0.667 0.747
As 0.333 0.667 0.249
K 0.000 0.000 0.000
As 0.667 0.333 0.751

Calculated values
* final energy: -2.842 eV per atom
* space group: P-3m1 (164)

Record 9
DFT (PBE) results for In2CoCuCl6 after structural relaxation.

a = 6.735 Å, b = 6.735 Å, c = 6.735 Å
α = 60.00°, β = 60.00°, γ = 60.00°
Element x y z (fractional)
Cl 0.758 0.758 0.242
Cl 0.242 0.242 0.758
In 0.750 0.750 0.750
Cl 0.758 0.242 0.242
Cl 0.242 0.758 0.758
Cl 0.242 0.758 0.242
Co 0.000 0.000 0.000
In 0.250 0.250 0.250
Cl 0.758 0.242 0.758
Cu 0.500 0.500 0.500

Calculated values
* final energy: -3.332 eV per atom
* space group: Fm-3m (225)

Copy entry 7 word for word.
DFT (PBE) results for NdYU after structural relaxation.

a = 5.317 Å, b = 5.317 Å, c = 5.317 Å
α = 60.00°, β = 60.00°, γ = 60.00°
Element x y z (fractional)
U 0.000 0.000 0.000
Y 0.750 0.750 0.750
Nd 0.250 0.250 0.250

Calculated values
* energy of formation: 1270 meV/atom
* energy relative to the lowest polymorph listed for this composition: 0.000 eV/f.u.
* space group: F-43m (216)

Q: Which formula does entry 1 have?
A: TbSnAuSe3

Q: Which formula does entry 9 have?
A: In2CoCuCl6